Compound: Li2VCuP2O8
Source: Alexandria
Functional: GGA+U
Structure: optimized geometry

Unit cell a=4.759 b=6.090 c=10.295 alpha=90.00 beta=91.08 gamma=90.00
Element x y z (fractional)
1 Li 0.000 0.000 0.000
2 Li 0.000 0.500 0.000
3 Li 0.500 0.000 0.500
4 Li 0.500 0.500 0.500
5 V 0.017 0.250 0.281
6 V 0.983 0.750 0.719
7 Cu 0.448 0.250 0.785
8 Cu 0.552 0.750 0.215
9 P 0.076 0.750 0.408
10 P 0.414 0.750 0.903
11 P 0.586 0.250 0.097
12 P 0.924 0.250 0.592
13 O 0.199 0.542 0.339
14 O 0.199 0.958 0.339
15 O 0.214 0.750 0.547
16 O 0.247 0.250 0.591
17 O 0.264 0.250 0.105
18 O 0.267 0.552 0.830
19 O 0.267 0.948 0.830
20 O 0.306 0.750 0.044
21 O 0.694 0.250 0.956
22 O 0.733 0.052 0.170
23 O 0.733 0.448 0.170
24 O 0.736 0.750 0.895
25 O 0.753 0.750 0.409
26 O 0.786 0.250 0.453
27 O 0.801 0.042 0.661
28 O 0.801 0.458 0.661

VASP energy (Ry/atom): -0.4953
Space group: P2_1/m